(A)
VASP calculation (GGA-PBE) on a geometry-optimized Tm3Zn2Pd structure.

Lattice parameters (Å, degrees): 3.5189 3.5189 10.3479 90.00 90.00 90.00
Closest atoms and distances in Å follow each position.
Positions (direct):
Tm 0.0000 0.0000 0.0000  8 Zn 3.02
Tm 0.0000 0.0000 0.3377  4 Pd 3.00, 4 Zn 3.06, 1 Tm 3.36
Tm 0.0000 0.0000 0.6623  4 Pd 3.00, 4 Zn 3.06, 1 Tm 3.36
Zn 0.5000 0.5000 0.1655  8 Tm 3.02-3.06
Zn 0.5000 0.5000 0.8345  8 Tm 3.02-3.06
Pd 0.5000 0.5000 0.5000  8 Tm 3.00

## Properties
crystal system = tetragonal
size of the total moment = 0.00 μB per formula unit

(B)
VASP calculation (GGA-PBE) on a geometry-optimized Tm3Zn2Pd structure.

Lattice parameters (Å, degrees): 4.9410 4.9410 6.0665 90.00 90.00 120.00
Closest atoms and distances in Å follow each position.
Positions (direct):
Tm 0.0000 0.0000 0.0000  6 Zn 3.00, 2 Pd 3.03
Tm 0.3333 0.6667 0.6592  5 Zn 2.98-3.08, 3 Pd 3.01
Tm 0.6667 0.3333 0.3408  5 Zn 2.98-3.08, 3 Pd 3.01
Zn 0.3333 0.6667 0.1509  8 Tm 2.98-3.08
Zn 0.6667 0.3333 0.8491  8 Tm 2.98-3.08
Pd 0.0000 0.0000 0.5000  8 Tm 3.01-3.03

## Properties
crystal system = trigonal
size of the total moment = 0.00 μB per formula unit

Stability check: which of them is least stable? (B).

(A)
VASP calculation (GGA-PBE) on a geometry-optimized TmZnPd structure.

Lattice parameters (Å, degrees): 6.8320 4.2113 8.0022 90.00 90.00 90.00
Closest atoms and distances in Å follow each position.
Positions (direct):
Tm 0.0379 0.2500 0.1878  5 Pd 2.86-2.97, 5 Zn 3.10-3.18
Tm 0.4621 0.7500 0.6878  5 Pd 2.86-2.97, 5 Zn 3.10-3.18
Tm 0.5379 0.2500 0.3122  5 Pd 2.86-2.97, 5 Zn 3.10-3.18
Tm 0.9621 0.7500 0.8122  5 Pd 2.86-2.97, 5 Zn 3.10-3.18
Zn 0.1446 0.2500 0.5639  4 Pd 2.65-2.70
Zn 0.3554 0.7500 0.0639  4 Pd 2.65-2.70
Zn 0.6446 0.2500 0.9361  4 Pd 2.65-2.70
Zn 0.8554 0.7500 0.4361  4 Pd 2.65-2.70
Pd 0.2452 0.7500 0.3814  4 Zn 2.65-2.70, 3 Tm 2.86-2.96
Pd 0.2548 0.2500 0.8814  4 Zn 2.65-2.70, 3 Tm 2.86-2.96
Pd 0.7452 0.7500 0.1186  4 Zn 2.65-2.70, 3 Tm 2.86-2.96
Pd 0.7548 0.2500 0.6186  4 Zn 2.65-2.70, 3 Tm 2.86-2.96

## Properties
crystal system = orthorhombic
size of the total moment = 0.00 μB per formula unit

(B)
VASP calculation (GGA-PBE) on a geometry-optimized TmZnPd structure.

Lattice parameters (Å, degrees): 3.5332 3.5332 9.0415 90.00 90.00 90.00
Closest atoms and distances in Å follow each position.
Positions (direct):
Tm 0.0000 0.0000 0.0000  5 Zn 2.88-2.99, 5 Pd 2.93-2.98
Tm 0.5000 0.5000 0.5000  5 Zn 2.88-2.99, 5 Pd 2.93-2.98
Zn 0.0000 0.0000 0.3188  4 Pd 2.84, 5 Tm 2.88-2.99
Zn 0.5000 0.5000 0.8188  4 Pd 2.84, 5 Tm 2.88-2.99
Pd 0.0000 0.0000 0.6702  4 Zn 2.84, 5 Tm 2.93-2.98
Pd 0.5000 0.5000 0.1702  4 Zn 2.84, 5 Tm 2.93-2.98

## Properties
crystal system = tetragonal
size of the total moment = 0.00 μB per formula unit

(C)
VASP calculation (GGA-PBE) on a geometry-optimized TmZnPd structure.

Lattice parameters (Å, degrees): 7.2511 7.2511 3.8111 90.00 90.00 120.00
Closest atoms and distances in Å follow each position.
Positions (direct):
Tm 0.0000 0.5973 0.0000  5 Pd 2.92, 6 Zn 3.13-3.19
Tm 0.4027 0.4027 0.0000  5 Pd 2.92, 6 Zn 3.13-3.19
Tm 0.5973 0.0000 0.0000  5 Pd 2.92, 6 Zn 3.13-3.19
Zn 0.0000 0.2546 0.5000  4 Pd 2.65-2.75
Zn 0.2546 0.0000 0.5000  4 Pd 2.65-2.75
Zn 0.7454 0.7454 0.5000  4 Pd 2.65-2.75
Pd 0.0000 0.0000 0.0000  6 Zn 2.65, 3 Tm 2.92
Pd 0.3333 0.6667 0.5000  3 Zn 2.75, 6 Tm 2.92
Pd 0.6667 0.3333 0.5000  3 Zn 2.75, 6 Tm 2.92

## Properties
crystal system = hexagonal
size of the total moment = 0.00 μB per formula unit

(D)
VASP calculation (GGA-PBE) on a geometry-optimized TmZnPd structure.

Lattice parameters (Å, degrees): 4.4349 4.4349 3.4414 90.00 90.00 120.00
Closest atoms and distances in Å follow each position.
Positions (direct):
Tm 0.0000 0.0000 0.0000  6 Pd 3.08, 6 Zn 3.08, 2 Tm 3.44
Zn 0.3333 0.6667 0.5000  3 Pd 2.56
Pd 0.6667 0.3333 0.5000  3 Zn 2.56

## Properties
crystal system = hexagonal
size of the total moment = 0.00 μB per formula unit

Stability check: which of them is least stable? (B).

(A)
VASP calculation (GGA-PBE) on a geometry-optimized Tm6Zn2Pd structure.

Lattice parameters (Å, degrees): 8.3807 8.3807 4.8809 106.87 106.87 48.44
Closest atoms and distances in Å follow each position.
Positions (direct):
Tm 0.0854 0.5878 0.3367  1 Pd 2.92, 3 Zn 2.99
Tm 0.2470 0.7530 0.0000  2 Pd 2.97, 2 Zn 2.98
Tm 0.4122 0.9146 0.6633  1 Pd 2.92, 3 Zn 2.99
Tm 0.5878 0.0854 0.3367  1 Pd 2.92, 3 Zn 2.99
Tm 0.7530 0.2470 0.0000  2 Pd 2.97, 2 Zn 2.98
Tm 0.9146 0.4122 0.6633  1 Pd 2.92, 3 Zn 2.99
Zn 0.3327 0.3327 0.8326  8 Tm 2.98-2.99
Zn 0.6673 0.6673 0.1674  8 Tm 2.98-2.99
Pd 0.0000 0.0000 0.5000  8 Tm 2.92-2.97

## Properties
crystal system = monoclinic
size of the total moment = 0.00 μB per formula unit

(B)
VASP calculation (GGA-PBE) on a geometry-optimized Tm6Zn2Pd structure.

Lattice parameters (Å, degrees): 8.3192 8.3192 8.3192 110.90 110.12 107.41
Closest atoms and distances in Å follow each position.
Positions (direct):
Tm 0.0433 0.2187 0.8246  3 Zn 2.86-3.02
Tm 0.2573 0.5813 0.3240  1 Pd 3.03, 3 Zn 3.08-3.15, 1 Tm 3.32
Tm 0.2573 0.9334 0.6760  1 Pd 3.03, 3 Zn 3.08-3.15, 1 Tm 3.32
Tm 0.2583 0.3076 0.5659  2 Pd 2.93-3.06, 2 Zn 2.94-3.10
Tm 0.2583 0.6924 0.9507  2 Pd 2.93-3.06, 2 Zn 2.94-3.10
Tm 0.3942 0.2187 0.1754  3 Zn 2.86-3.02
Tm 0.6058 0.7813 0.8246  3 Zn 2.86-3.02
Tm 0.7417 0.3076 0.0493  2 Pd 2.93-3.06, 2 Zn 2.94-3.10
Tm 0.7417 0.6924 0.4341  2 Pd 2.93-3.06, 2 Zn 2.94-3.10
Tm 0.7427 0.0666 0.3240  1 Pd 3.03, 3 Zn 3.08-3.15, 1 Tm 3.32
Tm 0.7427 0.4187 0.6760  1 Pd 3.03, 3 Zn 3.08-3.15, 1 Tm 3.32
Tm 0.9567 0.7813 0.1754  3 Zn 2.86-3.02
Zn 0.0000 0.1377 0.1377  1 Zn 2.60
Zn 0.0000 0.8623 0.8623  1 Zn 2.60
Zn 0.3725 0.0000 0.3725  1 Zn 2.43
Zn 0.6275 0.0000 0.6275  1 Zn 2.43
Pd 0.0000 0.5000 0.5000  8 Tm 3.03-3.06
Pd 0.5000 0.5000 0.0000  8 Tm 2.93-3.24

## Properties
crystal system = orthorhombic
size of the total moment = 0.00 μB per formula unit

Stability check: which of them is least stable? (A).

(A)
VASP calculation (GGA-PBE) on a geometry-optimized Tm8ZnPd2 structure.

Lattice parameters (Å, degrees): 9.0274 9.0274 6.7315 105.78 105.78 32.27
Closest atoms and distances in Å follow each position.
Positions (direct):
Tm 0.0326 0.0326 0.2802  1 Pd 2.79, 2 Zn 3.05
Tm 0.1999 0.1999 0.8199  1 Pd 2.77
Tm 0.3296 0.3296 0.5228  1 Pd 2.75, 1 Zn 3.00
Tm 0.4068 0.4068 0.0368  1 Zn 3.08, 2 Pd 3.20, 6 Tm 3.34-3.42
Tm 0.5932 0.5932 0.9632  1 Zn 3.08, 2 Pd 3.20, 6 Tm 3.34-3.42
Tm 0.6704 0.6704 0.4772  1 Pd 2.75, 1 Zn 3.00
Tm 0.8001 0.8001 0.1801  1 Pd 2.77
Tm 0.9674 0.9674 0.7198  1 Pd 2.79, 2 Zn 3.05
Zn 0.5000 0.5000 0.5000  8 Tm 3.00-3.08
Pd 0.1849 0.1849 0.2187  3 Tm 2.75-2.79
Pd 0.8151 0.8151 0.7813  3 Tm 2.75-2.79

## Properties
crystal system = monoclinic
size of the total moment = 0.00 μB per formula unit

(B)
VASP calculation (GGA-PBE) on a geometry-optimized Tm8ZnPd2 structure.

Lattice parameters (Å, degrees): 7.8750 7.8750 5.4762 99.17 99.17 115.49
Closest atoms and distances in Å follow each position.
Positions (direct):
Tm 0.0000 0.0000 0.0000  1 Zn 3.09, 2 Pd 3.14, 4 Tm 3.32-3.41
Tm 0.0484 0.2971 0.5989  2 Pd 2.82-2.90
Tm 0.1584 0.6119 0.1889  2 Pd 2.91-2.93, 1 Zn 3.05
Tm 0.2971 0.0484 0.5989  2 Pd 2.82-2.90
Tm 0.4671 0.7169 0.7915  2 Pd 2.82-2.92
Tm 0.6119 0.1584 0.1889  2 Pd 2.91-2.93, 1 Zn 3.05
Tm 0.7169 0.4671 0.7915  2 Pd 2.82-2.92
Tm 0.7570 0.7570 0.3785  1 Zn 3.05, 2 Pd 3.12, 4 Tm 3.32-3.42
Zn 0.3821 0.3821 0.1096  8 Tm 3.05-3.28
Pd 0.0770 0.6824 0.6848  8 Tm 2.82-3.14
Pd 0.6824 0.0770 0.6848  8 Tm 2.82-3.14

## Properties
crystal system = monoclinic
size of the total moment = 0.00 μB per formula unit

Stability check: which of them is least stable? (B).